Ca5La (GGA-PBE, relaxed); energy above the most stable polymorph in this dataset = 0.0239 eV per atom; V = 40.90 A^3/atom; M_tot = 0.0 μB per cell; E_form = 0.3 eV per formula unit; DOS at the Fermi energy = 1.347 states/eV per atom
1.0
6.688 0.000 0.000
-3.344 5.792 0.000
0.000 0.000 6.336
Ca La
5 1
Cartesian
0.031 0.000 0.000
3.328 1.904 0.000
-0.015 3.888 0.000
-1.115 1.931 3.168
2.229 3.861 3.168
2.229 0.000 3.168